(1)
A plane-wave DFT calculation with GGA-PBE was carried out for Li2Hg2Pd after structural relaxation.

Values from the calculation:
Formation enthalpy at 0 K   -0.260 eV per atom
Offset from the most stable computed form   0.103 eV/atom

a = 7.409 Å, b = 7.409 Å, c = 3.292 Å
α = 90.00°, β = 90.00°, γ = 90.00°
Element x y z (fractional)
Hg 0.357 0.857 0.000
Hg 0.857 0.643 0.000
Hg 0.643 0.143 0.000
Hg 0.143 0.357 0.000
Pd 0.000 0.000 0.000
Pd 0.500 0.500 0.000
Li 0.161 0.661 0.500
Li 0.661 0.839 0.500
Li 0.839 0.339 0.500
Li 0.339 0.161 0.500


(2)
A plane-wave DFT calculation with GGA-PBE was carried out for Dy3TePbS after structural relaxation.

Values from the calculation:
Formation energy from raw total energies   -106 kJ per mole of atoms

a = 4.257 Å, b = 8.906 Å, c = 10.219 Å
α = 92.35°, β = 90.00°, γ = 90.00°
Element x y z (fractional)
Dy 0.250 0.858 0.580
Dy 0.750 0.871 0.139
Dy 0.750 0.381 0.117
Dy 0.750 0.142 0.420
Dy 0.250 0.619 0.883
Dy 0.250 0.129 0.861
Te 0.250 0.622 0.180
Te 0.750 0.378 0.820
Pb 0.750 0.864 0.818
Pb 0.250 0.136 0.182
S 0.250 0.155 0.581
S 0.750 0.845 0.419


(3)
A plane-wave DFT calculation with GGA-PBE was carried out for Pu3SnPd12 after structural relaxation.

Values from the calculation:
Formation enthalpy at 0 K   -0.533 eV per atom

a = 4.126 Å, b = 4.126 Å, c = 16.486 Å
α = 90.00°, β = 90.00°, γ = 90.00°
Last column: magnetic moment on the atom in μB.
Element x y z (fractional)
Pu 0.000 0.000 0.246  4.80
Pu 0.000 0.000 0.500  -4.83
Pu 0.000 0.000 0.754  4.80
Sn 0.000 0.000 0.000  0.00
Pd 0.500 0.500 0.000  -0.01
Pd 0.500 0.500 0.245  -0.07
Pd 0.500 0.500 0.500  0.07
Pd 0.500 0.500 0.755  -0.07
Pd 0.500 0.000 0.120  -0.04
Pd 0.500 0.000 0.373  0.00
Pd 0.500 0.000 0.627  0.00
Pd 0.500 0.000 0.880  -0.04
Pd 0.000 0.500 0.120  -0.04
Pd 0.000 0.500 0.373  0.00
Pd 0.000 0.500 0.627  0.00
Pd 0.000 0.500 0.880  -0.04


(4)
A plane-wave DFT calculation with GGA-PBE was carried out for TaRuW2 after structural relaxation.

Values from the calculation:
Formation enthalpy at 0 K   0.106 eV per atom
Offset from the most stable computed form   0.182 eV/atom

a = 4.496 Å, b = 4.496 Å, c = 4.496 Å
α = 60.00°, β = 60.00°, γ = 60.00°
Element x y z (fractional)
Ru 0.000 0.000 0.000
W 0.250 0.250 0.250
W 0.750 0.750 0.750
Ta 0.500 0.500 0.500


(5)
A plane-wave DFT calculation with GGA-PBE was carried out for K2LiCo after structural relaxation.

Values from the calculation:
Formation enthalpy at 0 K   0.861 eV per atom
Offset from the most stable computed form   0.231 eV/atom

a = 5.842 Å, b = 5.842 Å, c = 5.842 Å
α = 60.00°, β = 60.00°, γ = 60.00°
Last column: magnetic moment on the atom in μB.
Element x y z (fractional)
K 0.250 0.250 0.250  -0.01
K 0.750 0.750 0.750  -0.01
Co 0.500 0.500 0.500  1.95
Li 0.000 0.000 0.000  -0.01


(6)
A plane-wave DFT calculation with GGA-PBE was carried out for BeTc2Ge2 after structural relaxation.

Values from the calculation:
Formation enthalpy at 0 K   0.162 eV per atom
Offset from the most stable computed form   0.156 eV/atom

a = 6.785 Å, b = 6.785 Å, c = 3.127 Å
α = 90.00°, β = 90.00°, γ = 90.00°
Element x y z (fractional)
Be 0.000 0.000 0.000
Be 0.500 0.500 0.000
Ge 0.355 0.855 0.000
Ge 0.855 0.645 0.000
Ge 0.645 0.145 0.000
Ge 0.145 0.355 0.000
Tc 0.154 0.654 0.500
Tc 0.654 0.846 0.500
Tc 0.846 0.346 0.500
Tc 0.346 0.154 0.500


Number 1: magnetization 0.000 μB/f.u., raw total energy -2.18 eV/atom. Number 2: magnetization 0.000 μB/f.u., raw total energy -5.23 eV/atom. Number 3: magnetization 4.619 μB/f.u., raw total energy -7.37 eV/atom. Number 4: magnetization 0.000 μB/f.u., raw total energy -11.65 eV/atom. Number 5: magnetization 1.727 μB/f.u., raw total energy -1.94 eV/atom. Number 6: magnetization 0.000 μB/f.u., raw total energy -6.58 eV/atom.